Record 1
# AgSnPd3

AgSnPd3 after structural relaxation (PBE, Alexandria).

Lattice parameters (Å, degrees): 5.6772 7.5032 8.7302 90.00 90.00 90.00
Last column: nearest neighbours and their distance in Å.
Sites, in units of the cell vectors:
Ag 0.0000 0.0000 0.0000  6 Pd 2.71-2.91, 2 Sn 2.87
Ag 0.0000 0.5000 0.0000  6 Pd 2.71-2.91, 2 Sn 2.87
Ag 0.5000 0.0000 0.5000  6 Pd 2.71-2.91, 2 Sn 2.87
Ag 0.5000 0.5000 0.5000  6 Pd 2.71-2.91, 2 Sn 2.87
Sn 0.1182 0.2500 0.4771  6 Pd 2.68-2.96, 2 Ag 2.87
Sn 0.3818 0.7500 0.9771  6 Pd 2.68-2.96, 2 Ag 2.87
Sn 0.6182 0.2500 0.0229  6 Pd 2.68-2.96, 2 Ag 2.87
Sn 0.8818 0.7500 0.5229  6 Pd 2.68-2.96, 2 Ag 2.87
Pd 0.0976 0.7500 0.2473  2 Sn 2.70-2.86, 6 Pd 2.76-2.84, 2 Ag 2.91
Pd 0.1607 0.5673 0.7135  2 Sn 2.68-2.96, 2 Ag 2.71-2.73, 5 Pd 2.74-2.91
Pd 0.1607 0.9327 0.7135  2 Sn 2.68-2.96, 2 Ag 2.71-2.73, 5 Pd 2.74-2.91
Pd 0.3393 0.0673 0.2135  2 Sn 2.68-2.96, 2 Ag 2.71-2.73, 5 Pd 2.74-2.91
Pd 0.3393 0.4327 0.2135  2 Sn 2.68-2.96, 2 Ag 2.71-2.73, 5 Pd 2.74-2.91
Pd 0.4024 0.2500 0.7473  2 Sn 2.70-2.86, 6 Pd 2.76-2.84, 2 Ag 2.91
Pd 0.5976 0.7500 0.2527  2 Sn 2.70-2.86, 6 Pd 2.76-2.84, 2 Ag 2.91
Pd 0.6607 0.5673 0.7865  2 Sn 2.68-2.96, 2 Ag 2.71-2.73, 5 Pd 2.74-2.91
Pd 0.6607 0.9327 0.7865  2 Sn 2.68-2.96, 2 Ag 2.71-2.73, 5 Pd 2.74-2.91
Pd 0.8393 0.0673 0.2865  2 Sn 2.68-2.96, 2 Ag 2.71-2.73, 5 Pd 2.74-2.91
Pd 0.8393 0.4327 0.2865  2 Sn 2.68-2.96, 2 Ag 2.71-2.73, 5 Pd 2.74-2.91
Pd 0.9024 0.2500 0.7527  2 Sn 2.70-2.86, 6 Pd 2.76-2.84, 2 Ag 2.91

Values from the calculation:
total magnetic moment	0.0	μB per cell
E above lowest polymorph	0.216	eV/f.u.
V	18.6	Å³ per atom
ΔE_f	-0.69	eV/f.u.

---

Record 2
# Ag2SnPd3

Ag2SnPd3 after structural relaxation (PBE, Alexandria).

Lattice parameters (Å, degrees): 4.7873 6.0329 7.1709 89.91 80.71 89.92
Last column: nearest neighbours and their distance in Å.
Sites, in units of the cell vectors:
Ag 0.0000 0.0000 0.0000  8 Pd 2.83-2.94, 4 Ag 3.00-3.02
Ag 0.0000 0.5000 0.0000  8 Pd 2.83-2.89, 2 Sn 2.94, 2 Ag 3.02
Ag 0.3172 0.9999 0.3279  8 Pd 2.80-2.87, 1 Ag 3.00, 2 Sn 3.02
Ag 0.6828 0.0001 0.6721  8 Pd 2.80-2.87, 1 Ag 3.00, 2 Sn 3.02
Sn 0.3196 0.5000 0.3166  8 Pd 2.74-2.82, 3 Ag 2.94-3.02
Sn 0.6804 0.5000 0.6834  8 Pd 2.74-2.82, 3 Ag 2.94-3.02
Pd 0.1890 0.2592 0.6553  3 Sn 2.80-2.81, 5 Ag 2.81-2.94, 4 Pd 2.91-3.13
Pd 0.1892 0.7410 0.6553  3 Sn 2.80-2.82, 5 Ag 2.80-2.94, 4 Pd 2.91-3.13
Pd 0.4998 0.2501 0.0001  2 Sn 2.74-2.75, 6 Ag 2.81-2.83, 2 Pd 3.01-3.02
Pd 0.5002 0.7499 0.9999  2 Sn 2.74-2.75, 6 Ag 2.81-2.83, 2 Pd 3.01-3.02
Pd 0.8108 0.2590 0.3447  3 Sn 2.80-2.82, 5 Ag 2.80-2.94, 4 Pd 2.91-3.13
Pd 0.8110 0.7408 0.3447  3 Sn 2.80-2.81, 5 Ag 2.81-2.94, 4 Pd 2.91-3.13

Values from the calculation:
total magnetic moment	0.0	μB per cell
E above lowest polymorph	0.022	eV/f.u.
V	17.0	Å³ per atom
ΔE_f	-1.68	eV/f.u.

---

Record 3
# AgSnPd3

AgSnPd3 after structural relaxation (PBE, Alexandria).

Lattice parameters (Å, degrees): 7.2739 7.2739 5.0648 90.05 90.05 136.16
Last column: nearest neighbours and their distance in Å.
Sites, in units of the cell vectors:
Ag 0.0510 0.9490 0.7500  2 Ag 2.88, 10 Pd 3.07-3.21, 2 Sn 3.20
Ag 0.9490 0.0510 0.2500  2 Ag 2.88, 10 Pd 3.07-3.21, 2 Sn 3.20
Sn 0.3234 0.6766 0.2500  8 Pd 2.63-2.89
Sn 0.6766 0.3234 0.7500  8 Pd 2.63-2.89
Pd 0.0936 0.4062 0.7491  3 Sn 2.63-2.89, 4 Pd 2.71-2.81
Pd 0.4062 0.0936 0.2491  3 Sn 2.63-2.89, 4 Pd 2.71-2.81
Pd 0.5000 0.5000 0.0000  6 Pd 2.53-2.81, 2 Sn 2.70
Pd 0.5000 0.5000 0.5000  6 Pd 2.53-2.81, 2 Sn 2.70
Pd 0.5938 0.9064 0.7509  3 Sn 2.63-2.89, 4 Pd 2.71-2.81
Pd 0.9064 0.5938 0.2509  3 Sn 2.63-2.89, 4 Pd 2.71-2.81

Values from the calculation:
total magnetic moment	0.0	μB per cell
E above lowest polymorph	0.000	eV/f.u.
V	18.6	Å³ per atom
ΔE_f	-0.90	eV/f.u.

---

| no. | VASP energy (eV/atom) |
| --- | --- |
| 1 | -4.624 |
| 2 | -4.494 |
| 3 | -4.667 |